Compound: CrPb3
Source: the Alexandria database
Functional: PBE
Structure: optimized geometry

Lattice parameters (Å, degrees): 6.064 6.064 6.064 90.00 90.00 90.00
Element x y z (fractional)
Cr 0.000 0.000 0.000
Cr 0.500 0.500 0.500
Pb 0.000 0.250 0.500
Pb 0.000 0.750 0.500
Pb 0.250 0.500 0.000
Pb 0.500 0.000 0.250
Pb 0.500 0.000 0.750
Pb 0.750 0.500 0.000

Output
- Density of states at the Fermi level: 0.461 states/eV/atom

Compound: CrPb5
Source: the Alexandria database
Functional: PBE
Structure: optimized geometry

Lattice parameters (Å, degrees): 5.957 5.957 5.640 90.00 90.00 120.00
Element x y z (fractional)
Cr 0.000 0.000 0.000
Pb 0.000 0.679 0.500
Pb 0.321 0.321 0.500
Pb 0.333 0.667 0.000
Pb 0.667 0.333 0.000
Pb 0.679 0.000 0.500

Output
- Density of states at the Fermi level: 0.614 states/eV/atom
- Offset from the most stable computed form: 0.073 eV/atom

Compound: Cr4Pb
Source: the Alexandria database
Functional: PBE
Structure: optimized geometry

Lattice parameters (Å, degrees): 5.542 5.542 5.542 109.47 109.47 109.47
Element x y z (fractional)
Cr 0.000 0.000 0.500
Cr 0.000 0.500 0.000
Cr 0.500 0.000 0.000
Cr 0.500 0.500 0.500
Pb 0.000 0.000 0.000

Output
- Density of states at the Fermi level: 0.670 states/eV/atom
- Offset from the most stable computed form: 1.004 eV/atom

Number 1: E_form 0.449 eV per atom. Number 2: E_form 0.292 eV per atom. Number 3: E_form 1.609 eV per atom.